Computed, not measured: a relaxed K4AlCl7 crystal at the PBE level of DFT.

Formation energy (no corrections) ... -1789 meV per atom
Energy ... -3.544 eV/atom

abc: 5.2401 11.1580 8.3367
angles: 61.08 71.68 76.42
Closest atoms and distances in Å follow each position.
Element x y z (fractional)
K 0.5225 0.2927 0.6732  5 Cl 3.03-3.31
K 0.4885 0.7073 0.3268  5 Cl 3.03-3.31
K 0.7466 0.6782 0.8208  5 Cl 3.14-3.47
K 0.2456 0.3218 0.1792  5 Cl 3.14-3.47
Al 0.0516 0.0000 0.0000  5 Cl 2.23-2.32
Cl 0.8898 0.8894 0.3248  1 Al 2.32
Cl 0.1040 0.1106 0.6752  1 Al 2.32
Cl 0.0955 0.7928 0.9959  1 Al 2.28
Cl 0.8841 0.2072 0.0041  1 Al 2.28
Cl 0.3480 0.5458 0.7523  5 K 3.03-3.17
Cl 0.4778 0.0000 0.0000  1 Al 2.23
Cl 0.6461 0.4542 0.2477  5 K 3.03-3.17